# KOsPt, single point on PBEsol structure, DFT SCAN
data_KOsPt
_chemical_formula_sum 'K4 Os4 Pt4'
_cell_length_a 6.2523
_cell_length_b 6.2523
_cell_length_c 6.2523
_cell_angle_alpha 90.00
_cell_angle_beta 90.00
_cell_angle_gamma 90.00
_symmetry_space_group_name_H-M 'F -4 3 m'
_symmetry_Int_Tables_number 216
_symmetry_space_group_name_Hall 'F -4 2 3'
loop_
_atom_site_label
_atom_site_type_symbol
_atom_site_fract_x
_atom_site_fract_y
_atom_site_fract_z
K1 K 0.0000 0.0000 0.0000
Os1 Os 0.2500 0.2500 0.2500
Pt1 Pt 0.0000 0.0000 0.5000
# D(E_F): 3.560 states/eV/f.u.
# energy of formation: 1.58 eV per atom